# YReAs4

An optimized crystal structure of YReAs4 (PBE, the Alexandria database).

Structure (POSCAR):
```
YReAs4
1.0
0.0000 3.8875 3.8875
3.8875 0.0000 3.8875
3.8875 3.8875 0.0000
Y Re As
1 1 4
direct
0.0000 0.0000 0.0000
0.7500 0.7500 0.7500
0.8729 0.3757 0.3757
0.3757 0.3757 0.8729
0.3757 0.8729 0.3757
0.3757 0.3757 0.3757
```

Calculated volume = 19.6 Å³/atom
Symmetry = No. 216
Energy = -5.7479 eV/atom